*one*
The following is a PBE calculation of an optimized crystal structure of NaZnBr3, from Alexandria via LeMat-Bulk.

Properties
Magnetic moment, μB/f.u.: 0.00

a b c (Å): 5.4469 5.4469 5.4469
angles (deg): 90.00 90.00 90.00
Atoms (fractional coordinates):
Na1 0.0000 0.0000 0.0000
Zn1 0.5000 0.5000 0.5000
Br1 0.0000 0.0000 0.5000
Br2 0.0000 0.5000 0.0000
Br3 0.5000 0.0000 0.0000

=====

*two*
The following is a PBE calculation of an optimized crystal structure of NaZnBr3, from Alexandria via LeMat-Bulk.

Properties
Magnetic moment, μB/f.u.: 0.00

a b c (Å): 5.2371 5.2371 5.2371
angles (deg): 90.00 90.00 90.00
Atoms (fractional coordinates):
Na1 0.0000 0.0000 0.0000
Zn1 0.5000 0.5000 0.5000
Br1 0.0000 0.5000 0.5000
Br2 0.5000 0.0000 0.5000
Br3 0.5000 0.5000 0.0000

=====

Of them, *two* has the highest stability.

=====

*one*
The following is a PBE calculation of an optimized crystal structure of Na2ZnBr, from Alexandria via LeMat-Bulk.

Properties
Magnetic moment, μB/f.u.: 0.00

a b c (Å): 5.3729 5.3729 5.3729
angles (deg): 60.00 60.00 60.00
Atoms (fractional coordinates):
Na1 0.2500 0.2500 0.2500
Na2 0.7500 0.7500 0.7500
Zn1 0.0000 0.0000 0.0000
Br1 0.5000 0.5000 0.5000

=====

*two*
The following is a PBE calculation of an optimized crystal structure of Na2ZnBr, from Alexandria via LeMat-Bulk.

Properties
Magnetic moment, μB/f.u.: 0.00

a b c (Å): 6.8690 6.8690 6.8690
angles (deg): 108.34 108.34 111.76
Atoms (fractional coordinates):
Na1 0.0972 0.6250 0.9722
Na2 0.3750 0.3472 0.4722
Na3 0.6528 0.1250 0.0278
Na4 0.8750 0.9028 0.5278
Zn1 0.2500 0.7500 0.5000
Zn2 0.5000 0.5000 0.0000
Br1 0.0000 0.0000 0.0000
Br2 0.7500 0.2500 0.5000

=====

Of them, *two* has the highest stability.

=====

*one*
The following is a PBE calculation of an optimized crystal structure of NaZnBr2, from Alexandria via LeMat-Bulk.

Properties
Magnetic moment, μB/f.u.: 0.00

a b c (Å): 8.7647 8.7647 8.7647
angles (deg): 28.22 28.22 28.22
Atoms (fractional coordinates):
Na1 0.0000 0.0000 0.0000
Zn1 0.5000 0.5000 0.5000
Br1 0.3994 0.3994 0.3994
Br2 0.6006 0.6006 0.6006

=====

*two*
The following is a PBE calculation of an optimized crystal structure of NaZnBr2, from Alexandria via LeMat-Bulk.

Properties
Magnetic moment, μB/f.u.: 0.00

a b c (Å): 9.6787 9.6787 9.6787
angles (deg): 23.14 23.14 23.14
Atoms (fractional coordinates):
Na1 0.0000 0.0000 0.0000
Zn1 0.5000 0.5000 0.5000
Br1 0.1131 0.1131 0.1131
Br2 0.8869 0.8869 0.8869

=====

*three*
The following is a PBE calculation of an optimized crystal structure of NaZnBr2, from Alexandria via LeMat-Bulk.

Properties
Magnetic moment, μB/f.u.: 0.00

a b c (Å): 5.2047 5.2047 5.2047
angles (deg): 60.00 60.00 60.00
Atoms (fractional coordinates):
Na1 0.0000 0.0000 0.0000
Zn1 0.5000 0.5000 0.5000
Br1 0.2500 0.2500 0.2500
Br2 0.7500 0.7500 0.7500

=====

Of them, *one* has the highest stability.

=====

*one*
The following is a PBE calculation of an optimized crystal structure of NaZrBr4, from Alexandria via LeMat-Bulk.

Properties
Magnetic moment, μB/f.u.: 0.38

a b c (Å): 7.0793 3.7460 7.4896
angles (deg): 90.00 92.95 90.00
Atoms (fractional coordinates):
Na1 0.0000 0.0000 0.0000
Zr1 0.0000 0.5000 0.5000
Br1 0.2222 0.5000 0.7987
Br2 0.2343 0.0000 0.3536
Br3 0.7657 0.0000 0.6464
Br4 0.7778 0.5000 0.2013

=====

*two*
The following is a PBE calculation of an optimized crystal structure of NaZrBr4, from Alexandria via LeMat-Bulk.

Properties
Magnetic moment, μB/f.u.: 1.00

a b c (Å): 6.8408 6.8408 6.8408
angles (deg): 114.70 114.70 99.45
Atoms (fractional coordinates):
Na1 0.0000 0.0000 0.0000
Zr1 0.2500 0.7500 0.5000
Br1 0.1345 0.6290 0.0409
Br2 0.3710 0.4118 0.5055
Br3 0.5882 0.0937 0.9591
Br4 0.9063 0.8655 0.4945

=====

Of them, *one* has the highest stability.

=====

*one*
The following is a PBE calculation of an optimized crystal structure of NaZr2Br, from Alexandria via LeMat-Bulk.

Properties
Magnetic moment, μB/f.u.: 0.00

a b c (Å): 5.0232 5.0232 5.0232
angles (deg): 60.00 60.00 60.00
Atoms (fractional coordinates):
Na1 0.0000 0.0000 0.0000
Zr1 0.2500 0.2500 0.2500
Zr2 0.7500 0.7500 0.7500
Br1 0.5000 0.5000 0.5000

=====

*two*
The following is a PBE calculation of an optimized crystal structure of NaZr2Br, from Alexandria via LeMat-Bulk.

Properties
Magnetic moment, μB/f.u.: 0.00

a b c (Å): 12.6989 12.6989 12.6989
angles (deg): 161.57 161.57 26.18
Atoms (fractional coordinates):
Na1 0.0000 0.0000 0.0000
Na2 0.7500 0.2500 0.5000
Zr1 0.1314 0.6250 0.0064
Zr2 0.3750 0.3814 0.5064
Zr3 0.6186 0.1250 0.9936
Zr4 0.8750 0.8686 0.4936
Br1 0.2500 0.7500 0.5000
Br2 0.5000 0.5000 0.0000

=====

Of them, *two* has the highest stability.

=====

*one*
The following is a PBE calculation of an optimized crystal structure of Na2ZrBr6, from Alexandria via LeMat-Bulk.

Properties
Magnetic moment, μB/f.u.: 0.00

a b c (Å): 7.1385 7.5375 12.7499
angles (deg): 90.00 121.63 90.00
Atoms (fractional coordinates):
Na1 0.1803 0.0882 0.2227
Na2 0.1803 0.4118 0.7227
Na3 0.8197 0.5882 0.2773
Na4 0.8197 0.9118 0.7773
Zr1 0.5000 0.0000 0.0000
Zr2 0.5000 0.5000 0.5000
Br1 0.1474 0.1908 0.9446
Br2 0.1474 0.3092 0.4446
Br3 0.2528 0.7097 0.9167
Br4 0.2528 0.7903 0.4167
Br5 0.4258 0.0638 0.7759
Br6 0.4258 0.4362 0.2759
Br7 0.5742 0.5638 0.7241
Br8 0.5742 0.9362 0.2241
Br9 0.7472 0.2097 0.5833
Br10 0.7472 0.2903 0.0833
Br11 0.8526 0.6908 0.5554
Br12 0.8526 0.8092 0.0554

=====

*two*
The following is a PBE calculation of an optimized crystal structure of Na2ZrBr6, from Alexandria via LeMat-Bulk.

Properties
Magnetic moment, μB/f.u.: 0.00

a b c (Å): 6.8599 6.8599 12.7681
angles (deg): 90.00 90.00 90.00
Atoms (fractional coordinates):
Na1 0.0000 0.0000 0.1658
Na2 0.0000 0.0000 0.8342
Na3 0.5000 0.5000 0.3342
Na4 0.5000 0.5000 0.6658
Zr1 0.0000 0.0000 0.5000
Zr2 0.5000 0.5000 0.0000
Br1 0.1899 0.1899 0.3504
Br2 0.1899 0.1899 0.6496
Br3 0.2252 0.2252 0.0000
Br4 0.2748 0.7252 0.5000
Br5 0.3101 0.6899 0.1496
Br6 0.3101 0.6899 0.8504
Br7 0.6899 0.3101 0.1496
Br8 0.6899 0.3101 0.8504
Br9 0.7252 0.2748 0.5000
Br10 0.7748 0.7748 0.0000
Br11 0.8101 0.8101 0.3504
Br12 0.8101 0.8101 0.6496

=====

Of them, *one* has the highest stability.

=====

*one*
The following is a PBE calculation of an optimized crystal structure of NbBr5, from Alexandria via LeMat-Bulk.

Properties
Magnetic moment, μB/f.u.: 0.00

a b c (Å): 7.0594 7.5900 10.1713
angles (deg): 109.62 90.73 116.41
Atoms (fractional coordinates):
Nb1 0.1033 0.2150 0.2177
Nb2 0.8967 0.7850 0.7823
Br1 0.0731 0.8229 0.5806
Br2 0.1087 0.6316 0.8531
Br3 0.2271 0.1732 0.9580
Br4 0.2903 0.0118 0.2416
Br5 0.4296 0.5591 0.3223
Br6 0.5704 0.4409 0.6777
Br7 0.7097 0.9882 0.7584
Br8 0.7729 0.8268 0.0420
Br9 0.8913 0.3684 0.1469
Br10 0.9269 0.1771 0.4194

=====

*two*
The following is a PBE calculation of an optimized crystal structure of NbBr5, from Alexandria via LeMat-Bulk.

Properties
Magnetic moment, μB/f.u.: 0.00

a b c (Å): 7.0164 7.0164 7.0164
angles (deg): 98.27 98.27 135.42
Atoms (fractional coordinates):
Nb1 0.0000 0.0000 0.0000
Br1 0.0659 0.7362 0.8021
Br2 0.2638 0.0659 0.3298
Br3 0.5000 0.5000 0.0000
Br4 0.7362 0.9341 0.6702
Br5 0.9341 0.2638 0.1979

=====

Of them, *one* has the highest stability.

=====

*one*
The following is a PBE calculation of an optimized crystal structure of NbNiBr2, from Alexandria via LeMat-Bulk.

Properties
Magnetic moment, μB/f.u.: 2.75

a b c (Å): 6.8100 6.8100 6.8100
angles (deg): 128.34 128.34 76.08
Atoms (fractional coordinates):
Nb1 0.0000 0.0000 0.0000
Nb2 0.7500 0.2500 0.5000
Ni1 0.2500 0.7500 0.5000
Ni2 0.5000 0.5000 0.0000
Br1 0.1634 0.6250 0.0384
Br2 0.3750 0.4134 0.5384
Br3 0.5866 0.1250 0.9616
Br4 0.8750 0.8366 0.4616

=====

*two*
The following is a PBE calculation of an optimized crystal structure of NbNiBr2, from Alexandria via LeMat-Bulk.

Properties
Magnetic moment, μB/f.u.: 0.11

a b c (Å): 8.4836 8.4836 8.4836
angles (deg): 23.02 23.02 23.02
Atoms (fractional coordinates):
Nb1 0.0000 0.0000 0.0000
Ni1 0.5000 0.5000 0.5000
Br1 0.1031 0.1031 0.1031
Br2 0.8969 0.8969 0.8969

=====

Of them, *two* has the highest stability.

=====

*one*
The following is a PBE calculation of an optimized crystal structure of NbP2BrO, from Alexandria via LeMat-Bulk.

Properties
Magnetic moment, μB/f.u.: 1.44

a b c (Å): 4.8629 4.8629 3.6277
angles (deg): 90.00 90.00 90.00
Atoms (fractional coordinates):
Nb1 0.0000 0.0000 0.0000
P1 0.0000 0.5000 0.5000
P2 0.5000 0.0000 0.5000
Br1 0.5000 0.5000 0.5000
O1 0.5000 0.5000 0.0000

=====

*two*
The following is a PBE calculation of an optimized crystal structure of NbP2BrO, from Alexandria via LeMat-Bulk.

Properties
Magnetic moment, μB/f.u.: 0.00

a b c (Å): 4.9992 4.9992 3.9385
angles (deg): 90.00 90.00 90.00
Atoms (fractional coordinates):
Nb1 0.0000 0.0000 0.0000
P1 0.0000 0.5000 0.0000
P2 0.5000 0.0000 0.0000
Br1 0.5000 0.5000 0.5000
O1 0.0000 0.0000 0.5000

=====

Of them, *two* has the highest stability.

=====

*one*
The following is a PBE calculation of an optimized crystal structure of NbPBrO2, from Alexandria via LeMat-Bulk.

Properties
Magnetic moment, μB/f.u.: 0.00

a b c (Å): 3.9133 3.9133 5.5170
angles (deg): 90.00 90.00 90.00
Atoms (fractional coordinates):
Nb1 0.0000 0.0000 0.0000
P1 0.0000 0.0000 0.5000
Br1 0.5000 0.5000 0.5000
O1 0.0000 0.5000 0.0000
O2 0.5000 0.0000 0.0000

=====

*two*
The following is a PBE calculation of an optimized crystal structure of NbPBrO2, from Alexandria via LeMat-Bulk.

Properties
Magnetic moment, μB/f.u.: 1.45

a b c (Å): 3.7658 3.7658 5.6849
angles (deg): 90.00 90.00 90.00
Atoms (fractional coordinates):
Nb1 0.0000 0.0000 0.0000
P1 0.5000 0.5000 0.0000
Br1 0.5000 0.5000 0.5000
O1 0.0000 0.5000 0.5000
O2 0.5000 0.0000 0.5000

=====

Of them, *one* has the highest stability.

=====

*one*
The following is a PBE calculation of an optimized crystal structure of NbSe2BrO, from Alexandria via LeMat-Bulk.

Properties
Magnetic moment, μB/f.u.: 2.24

a b c (Å): 4.1751 4.1751 5.5075
angles (deg): 90.00 90.00 90.00
Atoms (fractional coordinates):
Nb1 0.0000 0.0000 0.0000
Se1 0.0000 0.5000 0.5000
Se2 0.5000 0.0000 0.5000
Br1 0.5000 0.5000 0.0000
O1 0.5000 0.5000 0.5000

=====

*two*
The following is a PBE calculation of an optimized crystal structure of NbSe2BrO, from Alexandria via LeMat-Bulk.

Properties
Magnetic moment, μB/f.u.: 1.76

a b c (Å): 4.9991 4.9991 5.2486
angles (deg): 90.00 90.00 90.00
Atoms (fractional coordinates):
Nb1 0.0000 0.0000 0.0000
Se1 0.0000 0.5000 0.0000
Se2 0.5000 0.0000 0.0000
Br1 0.0000 0.0000 0.5000
O1 0.5000 0.5000 0.5000

=====

Of them, *two* has the highest stability.

=====

*one*
The following is a PBE calculation of an optimized crystal structure of NbOs2Br, from Alexandria via LeMat-Bulk.

Properties
Magnetic moment, μB/f.u.: 0.00

a b c (Å): 6.9714 6.9714 6.9714
angles (deg): 131.87 131.87 70.43
Atoms (fractional coordinates):
Nb1 0.0000 0.0000 0.0000
Nb2 0.7500 0.2500 0.5000
Os1 0.1405 0.6250 0.0155
Os2 0.3750 0.3905 0.5155
Os3 0.6095 0.1250 0.9845
Os4 0.8750 0.8595 0.4845
Br1 0.2500 0.7500 0.5000
Br2 0.5000 0.5000 0.0000

=====

*two*
The following is a PBE calculation of an optimized crystal structure of NbOs2Br, from Alexandria via LeMat-Bulk.

Properties
Magnetic moment, μB/f.u.: 0.00

a b c (Å): 4.5615 4.5615 4.5615
angles (deg): 60.00 60.00 60.00
Atoms (fractional coordinates):
Nb1 0.0000 0.0000 0.0000
Os1 0.2500 0.2500 0.2500
Os2 0.7500 0.7500 0.7500
Br1 0.5000 0.5000 0.5000

=====

Of them, *two* has the highest stability.